# TaRuBr3 (PBE, relaxed)
# Crystal system: cubic
# ΔE_f (raw): 1.121 eV per atom
data_TaRuBr3
_cell_length_a 5.088
_cell_length_b 5.088
_cell_length_c 5.088
_cell_angle_alpha 90.00
_cell_angle_beta 90.00
_cell_angle_gamma 90.00
_symmetry_space_group_name_H-M 'P m -3 m'
_symmetry_Int_Tables_number 221
_symmetry_space_group_name_Hall '-P 4 2 3'
loop_
_atom_site_label
_atom_site_fract_x
_atom_site_fract_y
_atom_site_fract_z
Ta1 0.000 0.000 0.000
Ru1 0.500 0.500 0.500
Br1 0.000 0.000 0.500

---

# TlSiAu2 (PBE, relaxed)
# Crystal system: cubic
# Energy above the most stable polymorph in this dataset: 1.593 eV/f.u.
# ΔE_f (raw): 0.367 eV per atom
data_TlSiAu2
_cell_length_a 6.867
_cell_length_b 6.867
_cell_length_c 6.867
_cell_angle_alpha 90.00
_cell_angle_beta 90.00
_cell_angle_gamma 90.00
_symmetry_space_group_name_H-M 'F -4 3 m'
_symmetry_Int_Tables_number 216
_symmetry_space_group_name_Hall 'F -4 2 3'
loop_
_atom_site_label
_atom_site_fract_x
_atom_site_fract_y
_atom_site_fract_z
Tl1 0.000 0.000 0.000
Si1 0.250 0.250 0.250
Au1 0.000 0.000 0.500
Au2 0.250 0.250 0.750

---

# CaNiPt2 (PBE, relaxed)
# Crystal system: cubic
# ΔH_f (0 K): -0.91 eV per formula unit
data_CaNiPt2
_cell_length_a 6.459
_cell_length_b 6.459
_cell_length_c 6.459
_cell_angle_alpha 90.00
_cell_angle_beta 90.00
_cell_angle_gamma 90.00
_symmetry_space_group_name_H-M 'F -4 3 m'
_symmetry_Int_Tables_number 216
_symmetry_space_group_name_Hall 'F -4 2 3'
loop_
_atom_site_label
_atom_site_fract_x
_atom_site_fract_y
_atom_site_fract_z
Ca1 0.000 0.000 0.000
Ni1 0.250 0.250 0.750
Pt1 0.000 0.000 0.500
Pt2 0.250 0.250 0.250